## Na2NiPd2O6 (PBE+U)

Data for crystalline Na2NiPd2O6 at its relaxed geometry.

Geometry as extended XYZ:
```
11
Lattice="2.6476 -4.6278 0.0000 2.6476 4.6278 0.0000 -1.7478 0.0000 5.4515" Properties=species:S:1:pos:R:3 pbc="T T T"
Na 2.6476 3.1111 0.0000
Na 2.6476 -3.1111 0.0000
Ni -0.8739 0.0000 2.7258
Pd 1.7737 1.5306 2.7258
Pd 1.7737 -1.5306 2.7258
O 0.0193 1.6040 3.7869
O 0.8945 0.0000 1.6750
O 0.0193 -1.6040 3.7869
O 3.5281 1.6040 1.6646
O 2.6530 0.0000 3.7766
O 3.5281 -1.6040 1.6646
```

Results
- calculated volume (Å³/cell) = 133.6
- M_tot (μB per cell) = 1.993
- DFT total energy (eV per atom) = -5.07